CaSi2Pt | PBE-GGA | optimized geometry

## Properties
- ΔE_f (raw) (kJ/mol of atoms) = -14.93

```
data_CaSi2Pt
_chemical_formula_sum 'Ca4 Si8 Pt4'
_space_group_name_H-M_alt 'F -4 3 m'
_space_group_IT_number 216
_space_group_name_Hall 'F -4 2 3'
_cell_length_a 6.567
_cell_length_b 6.567
_cell_length_c 6.567
_cell_angle_alpha 90.00
_cell_angle_beta 90.00
_cell_angle_gamma 90.00
loop_
_atom_site_label
_atom_site_fract_x
_atom_site_fract_y
_atom_site_fract_z
Ca1 0.000 0.000 0.000
Si1 0.000 0.000 0.500
Si2 0.250 0.250 0.250
Pt1 0.250 0.250 0.750
```

K3LiTh2Te6 | PBE-GGA | optimized geometry

## Properties
- ΔE_f (raw) (kJ/mol of atoms) = -116.86

```
data_K3LiTh2Te6
_chemical_formula_sum 'K6 Li2 Th4 Te12'
_space_group_name_H-M_alt 'C 1 2/m 1'
_space_group_IT_number 12
_cell_length_a 7.965
_cell_length_b 13.794
_cell_length_c 8.619
_cell_angle_alpha 90.00
_cell_angle_beta 107.90
_cell_angle_gamma 90.00
loop_
_space_group_symop_operation_xyz
'x,y,z'
'-x,-y,-z'
'-x,y,-z'
'x,-y,z'
'x+1/2,y+1/2,z'
'-x+1/2,-y+1/2,-z'
'-x+1/2,y+1/2,-z'
'x+1/2,-y+1/2,z'
loop_
_atom_site_label
_atom_site_fract_x
_atom_site_fract_y
_atom_site_fract_z
K1 0.000 0.000 0.000
K2 0.000 0.336 0.000
Li1 0.000 0.500 0.500
Th1 0.000 0.167 0.500
Te1 0.231 0.000 0.710
Te2 0.240 0.330 0.710
```

AcSm2Er | PBE-GGA | optimized geometry

## Properties
- distance to the lowest polymorph of the same formula (kJ per mole of atoms) = 1.00

```
data_AcSm2Er
_chemical_formula_sum 'Ac3 Sm6 Er3'
_space_group_name_H-M_alt 'R 3 m'
_space_group_IT_number 160
_space_group_name_Hall 'R 3 -2"'
_cell_length_a 3.7094
_cell_length_b 3.7094
_cell_length_c 35.8778
_cell_angle_alpha 90.00
_cell_angle_beta 90.00
_cell_angle_gamma 120.00
loop_
_atom_site_label
_atom_site_fract_x
_atom_site_fract_y
_atom_site_fract_z
Ac1 0.0000 0.0000 0.0000
Sm1 0.0000 0.0000 0.5789
Sm2 0.0000 0.0000 0.7541
Er1 0.0000 0.0000 0.1663
```

CaSn2Br | PBE-GGA | optimized geometry

## Properties
- distance to the lowest polymorph of the same formula (kJ per mole of atoms) = 0.00
- ΔE_f (raw) (kJ/mol of atoms) = -32.60

```
data_CaSn2Br
_chemical_formula_sum 'Ca4 Sn8 Br4'
_space_group_name_H-M_alt 'I -4 2 d'
_space_group_IT_number 122
_space_group_name_Hall 'I -4 2bw'
_cell_length_a 10.687
_cell_length_b 10.687
_cell_length_c 5.319
_cell_angle_alpha 90.00
_cell_angle_beta 90.00
_cell_angle_gamma 90.00
loop_
_atom_site_label
_atom_site_fract_x
_atom_site_fract_y
_atom_site_fract_z
Ca1 0.000 0.000 0.000
Sn1 0.190 0.250 0.125
Br1 0.000 0.000 0.500
```

Magnetization, respectively: 0.000, 0.000, 0.000, 0.000 μB/f.u..